[1]
Entry from the Alexandria database: LiCrRhN2 after structural relaxation (GGA-PBEsol).

The structure in CIF format:
```
data_LiCrRhN2
_cell_length_a 3.6286
_cell_length_b 3.6286
_cell_length_c 4.6705
_cell_angle_alpha 90.00
_cell_angle_beta 90.00
_cell_angle_gamma 90.00
_space_group_name_H-M_alt 'P 4/m m m'
_space_group_IT_number 123
_space_group_name_Hall '-P 4 2'
loop_
_atom_site_label
_atom_site_type_symbol
_atom_site_fract_x
_atom_site_fract_y
_atom_site_fract_z
Li1 Li 0.0000 0.0000 0.0000
Cr1 Cr 0.5000 0.5000 0.5000
Rh1 Rh 0.5000 0.5000 0.0000
N1 N 0.0000 0.5000 0.5000
```

Summary:
total magnetic moment	0.006	μB/atom
energy relative to the elements, uncorrected	0.661	eV/atom
density	5.13	g/cm3

[2]
Entry from the Alexandria database: Hf3BePt after structural relaxation (GGA-PBEsol).

The structure in CIF format:
```
data_Hf3BePt
_cell_length_a 4.5084
_cell_length_b 4.5084
_cell_length_c 4.5084
_cell_angle_alpha 90.00
_cell_angle_beta 90.00
_cell_angle_gamma 90.00
_space_group_name_H-M_alt 'P m -3 m'
_space_group_IT_number 221
_space_group_name_Hall '-P 4 2 3'
loop_
_atom_site_label
_atom_site_type_symbol
_atom_site_fract_x
_atom_site_fract_y
_atom_site_fract_z
Hf1 Hf 0.0000 0.0000 0.5000
Be1 Be 0.0000 0.0000 0.0000
Pt1 Pt 0.5000 0.5000 0.5000
```

Summary:
total magnetic moment	0.000	μB/atom
energy of formation	0.182	eV/atom
density	13.40	g/cm3

[3]
Entry from the Alexandria database: TlNiW2 after structural relaxation (GGA-PBEsol).

The structure in CIF format:
```
data_TlNiW2
_cell_length_a 5.2619
_cell_length_b 9.1586
_cell_length_c 2.7662
_cell_angle_alpha 90.00
_cell_angle_beta 107.20
_cell_angle_gamma 90.00
_space_group_name_H-M_alt 'C 1 2/m 1'
_space_group_IT_number 12
loop_
_space_group_symop_operation_xyz
'x,y,z'
'-x,-y,-z'
'-x,y,-z'
'x,-y,z'
'x+1/2,y+1/2,z'
'-x+1/2,-y+1/2,-z'
'-x+1/2,y+1/2,-z'
'x+1/2,-y+1/2,z'
loop_
_atom_site_label
_atom_site_type_symbol
_atom_site_fract_x
_atom_site_fract_y
_atom_site_fract_z
Tl1 Tl 0.0000 0.0000 0.0000
Ni1 Ni 0.0000 0.5000 0.0000
W1 W 0.2500 0.2500 0.5000
```

Summary:
total magnetic moment	0.000	μB/atom
energy of formation	0.751	eV/atom
density	16.45	g/cm3

[4]
Entry from the Alexandria database: CdSbMo after structural relaxation (GGA-PBEsol).

The structure in CIF format:
```
data_CdSbMo
_cell_length_a 3.6609
_cell_length_b 4.7378
_cell_length_c 14.4085
_cell_angle_alpha 90.00
_cell_angle_beta 90.00
_cell_angle_gamma 90.00
_space_group_name_H-M_alt 'F m m 2'
_space_group_IT_number 42
_space_group_name_Hall 'F 2 -2'
loop_
_atom_site_label
_atom_site_type_symbol
_atom_site_fract_x
_atom_site_fract_y
_atom_site_fract_z
Cd1 Cd 0.0000 0.0000 0.0000
Sb1 Sb 0.0000 0.0000 0.7101
Mo1 Mo 0.0000 0.0000 0.3499
```

Summary:
total magnetic moment	0.000	μB/atom
energy relative to the elements, uncorrected	0.474	eV/atom
density	8.77	g/cm3

[5]
Entry from the Alexandria database: BaHN2F after structural relaxation (GGA-PBEsol).

The structure in CIF format:
```
data_BaHN2F
_cell_length_a 3.4675
_cell_length_b 3.4675
_cell_length_c 5.0385
_cell_angle_alpha 90.00
_cell_angle_beta 90.00
_cell_angle_gamma 90.00
_space_group_name_H-M_alt 'P 4/m m m'
_space_group_IT_number 123
_space_group_name_Hall '-P 4 2'
loop_
_atom_site_label
_atom_site_type_symbol
_atom_site_fract_x
_atom_site_fract_y
_atom_site_fract_z
Ba1 Ba 0.0000 0.0000 0.0000
H1 H 0.5000 0.5000 0.5000
N1 N 0.0000 0.5000 0.5000
F1 F 0.5000 0.5000 0.0000
```

Summary:
total magnetic moment	0.200	μB/atom
DFT total energy	-23.3	eV per formula unit
density	5.08	g/cm3

[6]
Entry from the Alexandria database: HfReBRh2 after structural relaxation (GGA-PBEsol).

The structure in CIF format:
```
data_HfReBRh2
_cell_length_a 4.6219
_cell_length_b 4.6219
_cell_length_c 4.2151
_cell_angle_alpha 90.00
_cell_angle_beta 90.00
_cell_angle_gamma 90.00
_space_group_name_H-M_alt 'P 4/m m m'
_space_group_IT_number 123
_space_group_name_Hall '-P 4 2'
loop_
_atom_site_label
_atom_site_type_symbol
_atom_site_fract_x
_atom_site_fract_y
_atom_site_fract_z
Hf1 Hf 0.0000 0.0000 0.0000
Re1 Re 0.5000 0.5000 0.5000
B1 B 0.0000 0.0000 0.5000
Rh1 Rh 0.0000 0.5000 0.0000
```

Summary:
total magnetic moment	0.625	μB/atom
energy of formation	1.992	eV/atom
density	10.72	g/cm3